No. 1
DFT (PBE) results for TbThPa2C4 after structural relaxation.

Results
* DFT formation energy: -0.383 eV/atom
* magnetic moment: 0.00 Bohr magnetons per cell
* density: 10.8 g cm⁻³

Lattice parameters (Å, degrees): 6.3242 3.6645 6.3461 90.00 109.69 90.00
Last column: nearest neighbours and their distance in Å.
Space group P2/m (No. 10)
Asymmetric unit:
Tb 0.0000 0.0000 0.0000 (multiplicity 1)  6 C 2.68
Th 0.0000 0.5000 0.5000 (multiplicity 1)  6 C 2.67-2.68
Pa 0.5000 0.0000 0.5000 (multiplicity 1)  6 C 2.50-2.51
Pa 0.5000 0.5000 0.0000 (multiplicity 1)  6 C 2.50-2.51
C 0.2754 0.0000 0.7587 (multiplicity 2)  3 Pa 2.50-2.51, 2 Th 2.68, 1 Tb 2.68
C 0.2758 0.5000 0.2602 (multiplicity 2)  3 Pa 2.50-2.51, 1 Th 2.67, 2 Tb 2.68

No. 2
DFT (PBE) results for TeIr2 after structural relaxation.

Results
* magnetic moment: 0.00 Bohr magnetons per cell
* distance to the lowest polymorph of the same formula: 16.37 kcal/mol of atoms
* density: 15.6 g cm⁻³
* energy relative to the elements, uncorrected: 716.9 meV per atom

Lattice parameters (Å, degrees): 4.4659 4.4659 3.1501 90.00 90.00 120.00
Last column: nearest neighbours and their distance in Å.
Space group P6/mmm (No. 191)
Asymmetric unit:
Te 0.0000 0.0000 0.0000 (multiplicity 1)  12 Ir 3.02, 2 Te 3.15
Ir 0.3333 0.6667 0.5000 (multiplicity 2)  3 Ir 2.58